DFT (PBE) results for SmHo4Cu5 after structural relaxation.

abc: 3.4491 3.4491 17.5380
angles: 90.00 90.00 90.00
Closest atoms and distances in Å follow each position.
Element x y z (fractional)
Sm1 0.0000 0.0000 0.0000  8 Cu 3.08
Ho1 0.0000 0.0000 0.2031  8 Cu 2.96-2.99
Ho2 0.0000 0.0000 0.4009  8 Cu 2.99-3.00
Ho3 0.0000 0.0000 0.5991  8 Cu 2.99-3.00
Ho4 0.0000 0.0000 0.7969  8 Cu 2.96-2.99
Cu1 0.5000 0.5000 0.1070  4 Ho 2.96, 4 Sm 3.08
Cu2 0.5000 0.5000 0.3017  8 Ho 2.99-3.00
Cu3 0.5000 0.5000 0.5000  8 Ho 2.99
Cu4 0.5000 0.5000 0.6983  8 Ho 2.99-3.00
Cu5 0.5000 0.5000 0.8930  4 Ho 2.96, 4 Sm 3.08

DFT (PBE) results for Sm2HoCu9 after structural relaxation.

abc: 5.1690 5.1690 8.9394
angles: 73.20 73.20 60.00
Closest atoms and distances in Å follow each position.
Element x y z (fractional)
Sm1 0.8594 0.8594 0.4218  12 Cu 3.00-3.21, 3 Sm 3.26
Sm2 0.1406 0.1406 0.5782  12 Cu 3.00-3.21, 3 Sm 3.26
Ho1 0.0000 0.0000 0.0000  18 Cu 2.98-3.29
Cu1 0.6678 0.6678 0.9965  6 Cu 2.50-2.54
Cu2 0.3322 0.3322 0.0035  6 Cu 2.50-2.54
Cu3 0.5000 0.5000 0.5000  6 Cu 2.64
Cu4 0.4205 0.4205 0.2413  7 Cu 2.50-2.64
Cu5 0.9178 0.4205 0.2413  7 Cu 2.50-2.64
Cu6 0.4205 0.9178 0.2413  7 Cu 2.50-2.64
Cu7 0.5795 0.5795 0.7587  7 Cu 2.50-2.64
Cu8 0.5795 0.0822 0.7587  7 Cu 2.50-2.64
Cu9 0.0822 0.5795 0.7587  7 Cu 2.50-2.64

DFT (PBE) results for SmHoCu2 after structural relaxation.

abc: 4.9518 4.9518 4.9518
angles: 60.00 60.00 60.00
Closest atoms and distances in Å follow each position.
Element x y z (fractional)
Cu1 0.2500 0.2500 0.2500  4 Sm 3.03, 4 Ho 3.03
Cu2 0.7500 0.7500 0.7500  4 Ho 3.03, 4 Sm 3.03
Ho1 0.0000 0.0000 0.0000  8 Cu 3.03
Sm1 0.5000 0.5000 0.5000  8 Cu 3.03

As for the energy above the most stable polymorph in this dataset: 17 meV per atom.

DFT (PBE) results for Sm2HoCu3 after structural relaxation.

abc: 4.9798 4.9798 6.0835
angles: 90.00 90.00 120.00
Closest atoms and distances in Å follow each position.
Element x y z (fractional)
Sm1 0.6667 0.3333 0.3290  8 Cu 2.98-3.10
Sm2 0.3333 0.6667 0.6710  8 Cu 2.98-3.10
Ho1 0.0000 0.0000 0.0000  8 Cu 3.04
Cu1 0.0000 0.0000 0.5000  2 Ho 3.04, 6 Sm 3.06
Cu2 0.6667 0.3333 0.8386  5 Sm 2.98-3.10, 3 Ho 3.04
Cu3 0.3333 0.6667 0.1614  5 Sm 2.98-3.10, 3 Ho 3.04

As for the energy above the most stable polymorph in this dataset: 4 meV per atom.

DFT (PBE) results for Sm2HoCu after structural relaxation.

abc: 6.5228 6.9386 9.8492
angles: 90.00 90.00 90.00
Closest atoms and distances in Å follow each position.
Element x y z (fractional)
Sm1 0.1827 0.6951 0.0594  2 Cu 2.90-2.94
Sm2 0.3173 0.1951 0.4406  2 Cu 2.90-2.94
Sm3 0.8173 0.3049 0.5594  2 Cu 2.90-2.94
Sm4 0.6827 0.8049 0.9406  2 Cu 2.90-2.94
Sm5 0.8173 0.3049 0.9406  2 Cu 2.90-2.94
Sm6 0.6827 0.8049 0.5594  2 Cu 2.90-2.94
Sm7 0.1827 0.6951 0.4406  2 Cu 2.90-2.94
Sm8 0.3173 0.1951 0.0594  2 Cu 2.90-2.94
Ho1 0.6365 0.5246 0.2500  2 Cu 2.82-2.89
Ho2 0.8635 0.0246 0.2500  2 Cu 2.82-2.89
Ho3 0.3635 0.4754 0.7500  2 Cu 2.82-2.89
Ho4 0.1365 0.9754 0.7500  2 Cu 2.82-2.89
Cu1 0.0492 0.4032 0.2500  2 Ho 2.82-2.89, 4 Sm 2.90-2.94
Cu2 0.4508 0.9032 0.2500  2 Ho 2.82-2.89, 4 Sm 2.90-2.94
Cu3 0.9508 0.5968 0.7500  2 Ho 2.82-2.89, 4 Sm 2.90-2.94
Cu4 0.5492 0.0968 0.7500  2 Ho 2.82-2.89, 4 Sm 2.90-2.94

As for the energy above the most stable polymorph in this dataset: 0 meV per atom.

DFT (PBE) results for SmHo2Cu2 after structural relaxation.

abc: 4.6244 4.9910 10.7096
angles: 96.72 90.00 90.00
Closest atoms and distances in Å follow each position.
Element x y z (fractional)
Sm1 0.2500 0.6908 0.2419  1 Cu 2.94
Sm2 0.7500 0.3092 0.7581  1 Cu 2.94
Ho1 0.2500 0.8447 0.8866  5 Cu 2.68-2.92
Ho2 0.7500 0.1553 0.1134  5 Cu 2.68-2.92
Ho3 0.2500 0.2507 0.5045  4 Cu 2.74-2.86
Ho4 0.7500 0.7493 0.4955  4 Cu 2.74-2.86
Cu1 0.2500 0.7844 0.6345  5 Ho 2.68-2.86
Cu2 0.7500 0.2156 0.3655  5 Ho 2.68-2.86
Cu3 0.2500 0.3747 0.9928  2 Cu 2.62, 4 Ho 2.72-2.92, 1 Sm 2.94
Cu4 0.7500 0.6253 0.0072  2 Cu 2.62, 4 Ho 2.72-2.92, 1 Sm 2.94

As for the energy above the most stable polymorph in this dataset: 40 meV per atom.

Number 1: DFT total energy -46.03 eV for the cell shown. Number 2: DFT total energy -52.91 eV for the cell shown. Number 3: DFT total energy -18.35 eV for the cell shown. Number 4: DFT total energy -27.54 eV for the cell shown. Number 5: DFT total energy -73.73 eV for the cell shown. Number 6: DFT total energy -45.28 eV for the cell shown.